(1)
A plane-wave DFT calculation with PBE-GGA was carried out for a relaxed Li3Ce2PrSe6 crystal. Values from VASP.

```
&SYSTEM
  ibrav = 0, nat = 12, ntyp = 4
/
ATOMIC_SPECIES
Li 6.94 Li.upf
Ce 140.12 Ce.upf
Pr 140.91 Pr.upf
Se 78.96 Se.upf
CELL_PARAMETERS angstrom
3.656 -6.334 0.000
3.656 6.334 0.000
-2.436 0.000 6.506
ATOMIC_POSITIONS crystal
Li 0.000 0.000 0.000
Li 0.334 0.666 0.000
Li 0.666 0.334 0.000
Ce 0.167 0.833 0.500
Ce 0.833 0.167 0.500
Pr 0.500 0.500 0.500
Se 0.077 0.414 0.240
Se 0.251 0.251 0.761
Se 0.414 0.077 0.240
Se 0.586 0.923 0.760
Se 0.749 0.749 0.239
Se 0.923 0.586 0.760
```

## Properties
DOS(E_F) (states/eV/atom): 1.06
Crystal system: monoclinic
Raw total energy (eV per formula unit): -62.684
Size of the total moment (Bohr magnetons per cell): 2.0
Energy relative to the elements, uncorrected (eV per atom): -1.62
Space-group type: C2/m, No. 12



(2)
A plane-wave DFT calculation with PBE-GGA was carried out for a relaxed Ga2PdSe crystal. Values from VASP.

```
&SYSTEM
  ibrav = 0, nat = 8, ntyp = 3
/
ATOMIC_SPECIES
Ga 69.72 Ga.upf
Pd 106.42 Pd.upf
Se 78.96 Se.upf
CELL_PARAMETERS angstrom
-3.147 3.147 4.780
3.147 -3.147 4.780
3.147 3.147 -4.780
ATOMIC_POSITIONS crystal
Ga 0.109 0.625 0.984
Ga 0.375 0.359 0.484
Ga 0.641 0.125 0.016
Ga 0.875 0.891 0.516
Pd 0.000 0.000 0.000
Pd 0.750 0.250 0.500
Se 0.250 0.750 0.500
Se 0.500 0.500 0.000
```

## Properties
DOS(E_F) (states/eV/atom): 0.03
Crystal system: tetragonal
Raw total energy (eV per formula unit): -15.807
Size of the total moment (Bohr magnetons per cell): 0.0
Energy relative to the elements, uncorrected (eV per atom): -0.27
Space-group type: I-42d, No. 122



(3)
A plane-wave DFT calculation with PBE-GGA was carried out for a relaxed Ca2LaSnBi crystal. Values from VASP.

```
&SYSTEM
  ibrav = 0, nat = 5, ntyp = 4
/
ATOMIC_SPECIES
Ca 40.08 Ca.upf
La 138.91 La.upf
Sn 118.71 Sn.upf
Bi 208.98 Bi.upf
CELL_PARAMETERS angstrom
5.626 0.000 0.000
0.000 5.626 0.000
0.000 0.000 6.057
ATOMIC_POSITIONS crystal
Ca 0.000 0.500 0.000
Ca 0.500 0.000 0.000
La 0.000 0.000 0.500
Sn 0.500 0.500 0.000
Bi 0.500 0.500 0.500
```

## Properties
DOS(E_F) (states/eV/atom): 0.69
ΔE_f (eV per atom): 0.083
Crystal system: tetragonal
Raw total energy (eV per formula unit): -16.402
Size of the total moment (Bohr magnetons per cell): 0.0
Space-group type: P4/mmm, No. 123



(4)
A plane-wave DFT calculation with PBE-GGA was carried out for a relaxed TcAgPb crystal. Values from VASP.

```
&SYSTEM
  ibrav = 0, nat = 3, ntyp = 3
/
ATOMIC_SPECIES
Tc 98.00 Tc.upf
Ag 107.87 Ag.upf
Pb 207.20 Pb.upf
CELL_PARAMETERS angstrom
4.751 0.000 0.000
-2.376 4.115 0.000
0.000 0.000 2.959
ATOMIC_POSITIONS crystal
Tc 0.000 0.000 0.000
Ag 0.333 0.667 0.446
Pb 0.667 0.333 0.763
```

## Properties
DOS(E_F) (states/eV/atom): 0.71
E above lowest polymorph (meV per atom): 2
ΔE_f (eV per atom): 0.736
Crystal system: trigonal
Raw total energy (eV per formula unit): -14.719
Size of the total moment (Bohr magnetons per cell): 0.0
Space-group type: P3m1, No. 156